Material: LiNb2O4
Method: DFT, PBE
State: relaxed

The structure in CIF format:
```
data_LiNb2O4
_cell_length_a 6.1279
_cell_length_b 6.1279
_cell_length_c 8.6396
_cell_angle_alpha 90.00
_cell_angle_beta 90.00
_cell_angle_gamma 90.00
_symmetry_space_group_name_H-M 'I 41/a m d'
_symmetry_Int_Tables_number 141
loop_
_symmetry_equiv_pos_as_xyz
'x,y,z'
'-x,-y,-z'
'-y+1/4,x+3/4,z+1/4'
'y+1/4,-x+3/4,-z+1/4'
'-x+1/2,-y,z+1/2'
'x+1/2,y,-z+1/2'
'y+1/4,-x+1/4,z+3/4'
'-y+1/4,x+1/4,-z+3/4'
'x,-y,-z'
'-x,y,z'
'-y+1/4,-x+1/4,-z+3/4'
'y+1/4,x+1/4,z+3/4'
'-x+1/2,y,-z+1/2'
'x+1/2,-y,z+1/2'
'y+1/4,x+3/4,-z+1/4'
'-y+1/4,-x+3/4,z+1/4'
'x+1/2,y+1/2,z+1/2'
'-x+1/2,-y+1/2,-z+1/2'
'-y+3/4,x+1/4,z+3/4'
'y+3/4,-x+1/4,-z+3/4'
'-x,-y+1/2,z'
'x,y+1/2,-z'
'y+3/4,-x+3/4,z+1/4'
'-y+3/4,x+3/4,-z+1/4'
'x+1/2,-y+1/2,-z+1/2'
'-x+1/2,y+1/2,z+1/2'
'-y+3/4,-x+3/4,-z+1/4'
'y+3/4,x+3/4,z+1/4'
'-x,y+1/2,-z'
'x,-y+1/2,z'
'y+3/4,x+1/4,-z+3/4'
'-y+3/4,-x+1/4,z+3/4'
loop_
_atom_site_label
_atom_site_fract_x
_atom_site_fract_y
_atom_site_fract_z
Li1 0.0000 0.2500 0.3750
Nb1 0.0000 0.0000 0.0000
O1 0.0000 0.0078 0.7526
```

Values from the calculation:
The value obtained for the magnetization is 0.000 μB per atom. The calculation puts the energy relative to the elements, uncorrected at -2.231 eV/atom. The density of states at the Fermi level is 0.438 states/eV per atom.